No. 1
Entry from the Open Quantum Materials Database: a geometry-optimized Ho3In3CuPt2 structure (GGA-PBE).

a = 7.634 Å, b = 7.634 Å, c = 3.804 Å
α = 90.00°, β = 90.00°, γ = 120.00°
Element x y z (fractional)
Ho: 0.000 0.590 0.000
Ho: 0.410 0.410 0.000
Ho: 0.590 0.000 0.000
In: 0.000 0.252 0.500
In: 0.252 0.000 0.500
In: 0.748 0.748 0.500
Cu: 0.000 0.000 0.000
Pt: 0.333 0.667 0.500
Pt: 0.667 0.333 0.500

=====

No. 2
Entry from the Open Quantum Materials Database: a geometry-optimized La2Mg3CdNi2 structure (GGA-PBE).

a = 5.468 Å, b = 5.468 Å, c = 8.305 Å
α = 90.12°, β = 90.12°, γ = 45.39°
Element x y z (fractional)
La: 0.000 0.000 0.000
La: 0.118 0.118 0.498
Mg: 0.404 0.404 0.695
Mg: 0.713 0.713 0.805
Mg: 0.716 0.716 0.197
Cd: 0.411 0.411 0.302
Ni: 0.280 0.280 0.999
Ni: 0.833 0.833 0.506

=====

No. 3
Entry from the Open Quantum Materials Database: a geometry-optimized ZnCuNiB structure (GGA-PBE).

Output
Energy relative to the lowest polymorph listed for this composition in meV per atom: 0

a = 3.900 Å, b = 3.900 Å, c = 3.900 Å
α = 60.00°, β = 60.00°, γ = 60.00°
Element x y z (fractional)
Zn: 0.000 0.000 0.000
Cu: 0.750 0.750 0.750
Ni: 0.250 0.250 0.250
B: 0.500 0.500 0.500

=====

Calculated values (eV per atom) of raw total energy for the records, taken in order: -5.037, -3.611, -4.020.
Calculated values (A^3/atom) of calculated volume for the records, taken in order: 21.3, 22.1, 10.5.